[1]
First-principles (GGA-PBE) data for a relaxed structure of Ba2LiAuI, as listed in the Alexandria database.

a = 6.4478 Å, b = 6.4478 Å, c = 4.9148 Å
α = 90.00°, β = 90.00°, γ = 90.00°
Atoms (fractional coordinates):
Ba: 0.0000 0.5000 0.0000
Ba: 0.5000 0.0000 0.0000
Li: 0.0000 0.0000 0.5000
Au: 0.0000 0.0000 0.0000
I: 0.5000 0.5000 0.5000

Values from the calculation:
Energy relative to the elements, uncorrected ... -696 meV/atom
Fermi-level density of states ... 0.655 states/eV per atom
Size of the total moment ... 0.0 μB per cell

=====

[2]
First-principles (GGA-PBE) data for a relaxed structure of BaMnAu2I, as listed in the Alexandria database.

a = 5.1856 Å, b = 5.1856 Å, c = 5.5114 Å
α = 90.00°, β = 90.00°, γ = 90.00°
Atoms (fractional coordinates):
Ba: 0.0000 0.0000 0.0000
Mn: 0.5000 0.5000 0.5000
Au: 0.0000 0.5000 0.5000
Au: 0.5000 0.0000 0.5000
I: 0.5000 0.5000 0.0000

Values from the calculation:
Energy relative to the elements, uncorrected ... -354 meV/atom
Fermi-level density of states ... 0.702 states/eV per atom
Size of the total moment ... 4.1 μB per cell

=====

[3]
First-principles (GGA-PBE) data for a relaxed structure of BaMo2AuI, as listed in the Alexandria database.

a = 6.7016 Å, b = 6.7016 Å, c = 6.3528 Å
α = 90.00°, β = 90.00°, γ = 90.00°
Atoms (fractional coordinates):
Ba: 0.0000 0.0000 0.0000
Mo: 0.0000 0.5000 0.0000
Mo: 0.5000 0.0000 0.0000
Au: 0.5000 0.5000 0.5000
I: 0.0000 0.0000 0.5000

Values from the calculation:
Energy relative to the elements, uncorrected ... 2266 meV/atom
Fermi-level density of states ... 0.677 states/eV per atom
Size of the total moment ... 10.6 μB per cell

=====

[4]
First-principles (GGA-PBE) data for a relaxed structure of Ba6AuI3N2, as listed in the Alexandria database.

a = 7.8016 Å, b = 7.8016 Å, c = 8.7659 Å
α = 97.87°, β = 97.87°, γ = 121.81°
Atoms (fractional coordinates):
Ba: 0.0418 0.4111 0.8140
Ba: 0.1995 0.1995 0.1817
Ba: 0.4111 0.0418 0.8140
Ba: 0.5889 0.9582 0.1860
Ba: 0.8005 0.8005 0.8183
Ba: 0.9582 0.5889 0.1860
Au: 0.5000 0.5000 0.0000
I: 0.0000 0.0000 0.5000
I: 0.3430 0.6570 0.5000
I: 0.6570 0.3430 0.5000
N: 0.1563 0.8437 0.0000
N: 0.8437 0.1563 0.0000

Values from the calculation:
Energy relative to the elements, uncorrected ... -967 meV/atom
Fermi-level density of states ... 0.473 states/eV per atom
Size of the total moment ... 1.2 μB per cell